The following is a PBE-GGA calculation of a relaxed structure of TbHfCr4, from the Alexandria database.

Computed properties:
Space-group type: F-43m, No. 216
Total energy, eV per cell: -52.0
DOS(E_F), states/eV per cell: 9.19
E_form, meV per atom: 180

Lattice parameters (Å, degrees): 5.111 5.111 5.111 60.00 60.00 60.00
Sites, in units of the cell vectors:
Tb1 0.000 0.000 0.000
Hf1 0.250 0.250 0.250
Cr1 0.625 0.625 0.125
Cr2 0.625 0.125 0.625
Cr3 0.625 0.625 0.625
Cr4 0.125 0.625 0.625